1.
# TmBRu3 GGA-PBE relaxed
data_TmBRu3
_chemical_formula_sum 'Tm2 B2 Ru6'
_space_group_name_H-M_alt 'P 1'
_space_group_IT_number 1
_cell_length_a 6.9657
_cell_length_b 6.9657
_cell_length_c 3.1129
_cell_angle_alpha 90.00
_cell_angle_beta 90.00
_cell_angle_gamma 109.17
loop_
_space_group_symop_operation_xyz
'x,y,z'
loop_
_atom_site_label
_atom_site_type_symbol
_atom_site_fract_x
_atom_site_fract_y
_atom_site_fract_z
_atom_site_occupancy
Tm1 Tm 0.2077 0.7923 0.0000 1
Tm2 Tm 0.7923 0.2077 0.0000 1
B1 B 0.2102 0.2102 0.0000 1
B2 B 0.7898 0.7898 0.0000 1
Ru1 Ru 0.0000 0.0000 0.5000 1
Ru2 Ru 0.1713 0.4227 0.5000 1
Ru3 Ru 0.4227 0.1713 0.5000 1
Ru4 Ru 0.5000 0.5000 0.0000 1
Ru5 Ru 0.5773 0.8287 0.5000 1
Ru6 Ru 0.8287 0.5773 0.5000 1
# Space group: Cmmm (65)
# Crystal system: orthorhombic
# E: -8.108 eV per atom

2.
# La2SeCl GGA-PBE relaxed
data_La2SeCl
_chemical_formula_sum 'La2 Se1 Cl1'
_space_group_name_H-M_alt 'P 1'
_space_group_IT_number 1
_cell_length_a 5.8957
_cell_length_b 5.8957
_cell_length_c 5.8957
_cell_angle_alpha 140.67
_cell_angle_beta 111.31
_cell_angle_gamma 82.13
loop_
_space_group_symop_operation_xyz
'x,y,z'
loop_
_atom_site_label
_atom_site_type_symbol
_atom_site_fract_x
_atom_site_fract_y
_atom_site_fract_z
_atom_site_occupancy
La1 La 0.2493 0.2493 0.0000 1
La2 La 0.7507 0.7507 0.0000 1
Se1 Se 0.5000 0.0000 0.5000 1
Cl1 Cl 0.0000 0.5000 0.5000 1
# Space group: Immm (71)
# Polymorph energy (0 for the lowest one): 291 meV per atom
# Formation energy (no corrections): -1.486 eV/atom
# Crystal system: orthorhombic
# E: -5.282 eV per atom

3.
# FeRu2Pt GGA-PBE relaxed
data_FeRu2Pt
_chemical_formula_sum 'Fe1 Ru2 Pt1'
_space_group_name_H-M_alt 'P 1'
_space_group_IT_number 1
_cell_length_a 4.6789
_cell_length_b 4.6789
_cell_length_c 4.6786
_cell_angle_alpha 99.89
_cell_angle_beta 99.89
_cell_angle_gamma 33.65
loop_
_space_group_symop_operation_xyz
'x,y,z'
loop_
_atom_site_label
_atom_site_type_symbol
_atom_site_fract_x
_atom_site_fract_y
_atom_site_fract_z
_atom_site_occupancy
Fe1 Fe 0.0000 0.0000 0.0000 1
Ru1 Ru 0.2518 0.2518 0.7407 1
Ru2 Ru 0.5049 0.5049 0.5240 1
Pt1 Pt 0.7494 0.7494 0.2384 1
# Space group: Cm (8)
# Crystal system: monoclinic
# E: -8.231 eV per atom

4.
# Tb6Nd2Y3Ho GGA-PBE relaxed
data_Tb6Nd2Y3Ho
_chemical_formula_sum 'Tb6 Nd2 Y3 Ho1'
_space_group_name_H-M_alt 'P 1'
_space_group_IT_number 1
_cell_length_a 6.2017
_cell_length_b 6.2017
_cell_length_c 11.8716
_cell_angle_alpha 94.97
_cell_angle_beta 94.97
_cell_angle_gamma 119.97
loop_
_space_group_symop_operation_xyz
'x,y,z'
loop_
_atom_site_label
_atom_site_type_symbol
_atom_site_fract_x
_atom_site_fract_y
_atom_site_fract_z
_atom_site_occupancy
Tb1 Tb 0.0841 0.4166 0.7514 1
Tb2 Tb 0.2482 0.2482 0.2483 1
Tb3 Tb 0.4166 0.0841 0.7514 1
Tb4 Tb 0.5834 0.9159 0.2486 1
Tb5 Tb 0.7518 0.7518 0.7517 1
Tb6 Tb 0.9159 0.5834 0.2486 1
Nd1 Nd 0.3334 0.6666 0.5000 1
Nd2 Nd 0.6666 0.3334 0.5000 1
Y1 Y 0.1664 0.8336 0.0000 1
Y2 Y 0.5000 0.5000 0.0000 1
Y3 Y 0.8336 0.1664 0.0000 1
Ho1 Ho 0.0000 0.0000 0.5000 1
# Space group: C2/m (12)
# Crystal system: monoclinic
# E: -5.091 eV per atom